(1)
Material: Tb2Be2GaPt5
Method: DFT, PBE
State: relaxed

Calculated values
Calculated total energy (eV/cell): -119.37
V (Å³/cell): 321.03
Symmetry: P4/mbm, No. 127
Magnetization (μB/atom): 0.000
ΔH_f (0 K) (meV per atom): -974.2

CIF file:
```
data_Tb2Be2GaPt5
_symmetry_space_group_name_H-M 'P 1'
_symmetry_Int_Tables_number 1
_symmetry_space_group_name_Hall 'P 1'
_cell_length_a 9.520
_cell_length_b 9.520
_cell_length_c 3.542
_cell_angle_alpha 90.00
_cell_angle_beta 90.00
_cell_angle_gamma 90.00
loop_
_atom_site_label
_atom_site_type_symbol
_atom_site_fract_x
_atom_site_fract_y
_atom_site_fract_z
Tb1 Tb 0.179 0.321 0.000
Tb2 Tb 0.321 0.821 0.000
Tb3 Tb 0.679 0.179 0.000
Tb4 Tb 0.821 0.679 0.000
Be1 Be 0.119 0.619 0.000
Be2 Be 0.381 0.119 0.000
Be3 Be 0.619 0.881 0.000
Be4 Be 0.881 0.381 0.000
Ga1 Ga 0.000 0.000 0.000
Ga2 Ga 0.500 0.500 0.000
Pt1 Pt 0.000 0.500 0.500
Pt2 Pt 0.066 0.786 0.500
Pt3 Pt 0.214 0.066 0.500
Pt4 Pt 0.286 0.566 0.500
Pt5 Pt 0.434 0.286 0.500
Pt6 Pt 0.500 0.000 0.500
Pt7 Pt 0.566 0.714 0.500
Pt8 Pt 0.714 0.434 0.500
Pt9 Pt 0.786 0.934 0.500
Pt10 Pt 0.934 0.214 0.500
```

(2)
Material: Be2AgHg
Method: DFT, PBE
State: relaxed

Calculated values
Calculated total energy (eV/cell): -33.87
V (Å³/cell): 237.74
Symmetry: F-43m, No. 216
Magnetization (μB/atom): 0.000
ΔH_f (0 K) (meV per atom): 534.6

CIF file:
```
data_Be2AgHg
_symmetry_space_group_name_H-M 'P 1'
_symmetry_Int_Tables_number 1
_symmetry_space_group_name_Hall 'P 1'
_cell_length_a 6.195
_cell_length_b 6.195
_cell_length_c 6.195
_cell_angle_alpha 90.00
_cell_angle_beta 90.00
_cell_angle_gamma 90.00
loop_
_atom_site_label
_atom_site_type_symbol
_atom_site_fract_x
_atom_site_fract_y
_atom_site_fract_z
Be1 Be 0.000 0.000 0.000
Be2 Be 0.000 0.500 0.500
Be3 Be 0.250 0.250 0.250
Be4 Be 0.250 0.750 0.750
Be5 Be 0.500 0.000 0.500
Be6 Be 0.500 0.500 0.000
Be7 Be 0.750 0.250 0.750
Be8 Be 0.750 0.750 0.250
Ag1 Ag 0.000 0.000 0.500
Ag2 Ag 0.000 0.500 0.000
Ag3 Ag 0.500 0.000 0.000
Ag4 Ag 0.500 0.500 0.500
Hg1 Hg 0.250 0.250 0.750
Hg2 Hg 0.250 0.750 0.250
Hg3 Hg 0.750 0.250 0.250
Hg4 Hg 0.750 0.750 0.750
```

(3)
Material: LiSnClF2
Method: DFT, PBE
State: relaxed

Calculated values
Calculated total energy (eV/cell): -20.35
V (Å³/cell): 123.33
Symmetry: P4/mmm, No. 123
Energy relative to the lowest polymorph listed for this composition (meV/atom): 360
Magnetization (μB/atom): 0.000

CIF file:
```
data_LiSnClF2
_symmetry_space_group_name_H-M 'P 1'
_symmetry_Int_Tables_number 1
_symmetry_space_group_name_Hall 'P 1'
_cell_length_a 4.539
_cell_length_b 4.539
_cell_length_c 5.987
_cell_angle_alpha 90.00
_cell_angle_beta 90.00
_cell_angle_gamma 90.00
loop_
_atom_site_label
_atom_site_type_symbol
_atom_site_fract_x
_atom_site_fract_y
_atom_site_fract_z
Li1 Li 0.000 0.000 0.000
Sn1 Sn 0.500 0.500 0.500
Cl1 Cl 0.500 0.500 0.000
F1 F 0.000 0.500 0.500
F2 F 0.500 0.000 0.500
```

(4)
Material: NbPd2Au4
Method: DFT, PBE
State: relaxed

Calculated values
Calculated total energy (eV/cell): -66.86
V (Å³/cell): 257.41
Symmetry: P2_1/c, No. 14
Magnetization (μB/atom): 0.000
ΔH_f (0 K) (meV per atom): 19.5

CIF file:
```
data_NbPd2Au4
_symmetry_space_group_name_H-M 'P 1'
_symmetry_Int_Tables_number 1
_symmetry_space_group_name_Hall 'P 1'
_cell_length_a 4.911
_cell_length_b 9.452
_cell_length_c 5.604
_cell_angle_alpha 90.00
_cell_angle_beta 98.29
_cell_angle_gamma 90.00
loop_
_atom_site_label
_atom_site_type_symbol
_atom_site_fract_x
_atom_site_fract_y
_atom_site_fract_z
Nb1 Nb 0.000 0.000 0.000
Nb2 Nb 0.000 0.500 0.500
Pd1 Pd 0.308 0.089 0.373
Pd2 Pd 0.308 0.411 0.873
Pd3 Pd 0.692 0.589 0.127
Pd4 Pd 0.692 0.911 0.627
Au1 Au 0.086 0.703 0.875
Au2 Au 0.086 0.797 0.375
Au3 Au 0.466 0.134 0.888
Au4 Au 0.466 0.366 0.388
Au5 Au 0.534 0.634 0.612
Au6 Au 0.534 0.866 0.112
Au7 Au 0.914 0.203 0.625
Au8 Au 0.914 0.297 0.125
```

(5)
Material: LaOsO
Method: DFT, PBE
State: relaxed

Calculated values
Calculated total energy (eV/cell): -52.44
V (Å³/cell): 125.40
Symmetry: R-3m, No. 166
Magnetization (μB/atom): 0.000

CIF file:
```
data_LaOsO
_symmetry_space_group_name_H-M 'P 1'
_symmetry_Int_Tables_number 1
_symmetry_space_group_name_Hall 'P 1'
_cell_length_a 9.153
_cell_length_b 9.153
_cell_length_c 9.153
_cell_angle_alpha 25.53
_cell_angle_beta 25.53
_cell_angle_gamma 25.53
loop_
_atom_site_label
_atom_site_type_symbol
_atom_site_fract_x
_atom_site_fract_y
_atom_site_fract_z
La1 La 0.225 0.225 0.225
La2 La 0.775 0.775 0.775
Os1 Os 0.343 0.343 0.343
Os2 Os 0.657 0.657 0.657
O1 O 0.131 0.131 0.131
O2 O 0.869 0.869 0.869
```

(6)
Material: SiBiF3
Method: DFT, PBE
State: relaxed

Calculated values
Calculated total energy (eV/cell): -20.30
V (Å³/cell): 100.34
Symmetry: Pm-3m, No. 221
Energy relative to the lowest polymorph listed for this composition (meV/atom): 60
Magnetization (μB/atom): 0.400

CIF file:
```
data_SiBiF3
_symmetry_space_group_name_H-M 'P 1'
_symmetry_Int_Tables_number 1
_symmetry_space_group_name_Hall 'P 1'
_cell_length_a 4.647
_cell_length_b 4.647
_cell_length_c 4.647
_cell_angle_alpha 90.00
_cell_angle_beta 90.00
_cell_angle_gamma 90.00
loop_
_atom_site_label
_atom_site_type_symbol
_atom_site_fract_x
_atom_site_fract_y
_atom_site_fract_z
Si1 Si 0.000 0.000 0.000
Bi1 Bi 0.500 0.500 0.500
F1 F 0.000 0.500 0.500
F2 F 0.500 0.000 0.500
F3 F 0.500 0.500 0.000
```

(7)
Material: Hg2TeN2
Method: DFT, PBE
State: relaxed

Calculated values
Calculated total energy (eV/cell): -28.97
V (Å³/cell): 195.67
Symmetry: P4/mbm, No. 127
Energy relative to the lowest polymorph listed for this composition (meV/atom): 1113
Magnetization (μB/atom): 0.000

CIF file:
```
data_Hg2TeN2
_symmetry_space_group_name_H-M 'P 1'
_symmetry_Int_Tables_number 1
_symmetry_space_group_name_Hall 'P 1'
_cell_length_a 6.906
_cell_length_b 6.906
_cell_length_c 4.103
_cell_angle_alpha 90.00
_cell_angle_beta 90.00
_cell_angle_gamma 90.00
loop_
_atom_site_label
_atom_site_type_symbol
_atom_site_fract_x
_atom_site_fract_y
_atom_site_fract_z
Hg1 Hg 0.150 0.350 0.000
Hg2 Hg 0.350 0.850 0.000
Hg3 Hg 0.650 0.150 0.000
Hg4 Hg 0.850 0.650 0.000
Te1 Te 0.000 0.000 0.500
Te2 Te 0.500 0.500 0.500
N1 N 0.217 0.283 0.500
N2 N 0.283 0.783 0.500
N3 N 0.717 0.217 0.500
N4 N 0.783 0.717 0.500
```

(8)
Material: Sc8TlZn2
Method: DFT, PBE
State: relaxed

Calculated values
Calculated total energy (eV/cell): -56.50
V (Å³/cell): 253.68
Symmetry: C2/m, No. 12
Energy relative to the lowest polymorph listed for this composition (meV/atom): 113
Magnetization (μB/atom): 0.107
ΔH_f (0 K) (meV per atom): -84.9

CIF file:
```
data_Sc8TlZn2
_symmetry_space_group_name_H-M 'P 1'
_symmetry_Int_Tables_number 1
_symmetry_space_group_name_Hall 'P 1'
_cell_length_a 7.717
_cell_length_b 7.717
_cell_length_c 4.991
_cell_angle_alpha 99.89
_cell_angle_beta 99.89
_cell_angle_gamma 115.63
loop_
_atom_site_label
_atom_site_type_symbol
_atom_site_fract_x
_atom_site_fract_y
_atom_site_fract_z
Sc1 Sc 0.086 0.329 0.606
Sc2 Sc 0.232 0.768 0.000
Sc3 Sc 0.329 0.086 0.606
Sc4 Sc 0.400 0.400 0.199
Sc5 Sc 0.600 0.600 0.801
Sc6 Sc 0.671 0.914 0.394
Sc7 Sc 0.768 0.232 0.000
Sc8 Sc 0.914 0.671 0.394
Tl1 Tl 0.000 0.000 0.000
Zn1 Zn 0.307 0.693 0.500
Zn2 Zn 0.693 0.307 0.500
```

(9)
Material: DyEr2Sb2
Method: DFT, PBE
State: relaxed

Calculated values
Calculated total energy (eV/cell): -52.25
V (Å³/cell): 288.35
Symmetry: Cmcm, No. 63
Magnetization (μB/atom): 0.000

CIF file:
```
data_DyEr2Sb2
_symmetry_space_group_name_H-M 'P 1'
_symmetry_Int_Tables_number 1
_symmetry_space_group_name_Hall 'P 1'
_cell_length_a 10.921
_cell_length_b 10.921
_cell_length_c 6.253
_cell_angle_alpha 90.00
_cell_angle_beta 90.00
_cell_angle_gamma 157.25
loop_
_atom_site_label
_atom_site_type_symbol
_atom_site_fract_x
_atom_site_fract_y
_atom_site_fract_z
Dy1 Dy 0.114 0.886 0.750
Dy2 Dy 0.886 0.114 0.250
Er1 Er 0.311 0.689 0.750
Er2 Er 0.500 0.500 0.000
Er3 Er 0.500 0.500 0.500
Er4 Er 0.689 0.311 0.250
Sb1 Sb 0.081 0.919 0.250
Sb2 Sb 0.289 0.711 0.250
Sb3 Sb 0.711 0.289 0.750
Sb4 Sb 0.919 0.081 0.750
```

(10)
Material: Tb3Dy2Pb4
Method: DFT, PBE
State: relaxed

Calculated values
Calculated total energy (eV/cell): -41.87
V (Å³/cell): 268.59
Symmetry: C2/m, No. 12
Magnetization (μB/atom): 0.000
ΔH_f (0 K) (meV per atom): -437.9

CIF file:
```
data_Tb3Dy2Pb4
_symmetry_space_group_name_H-M 'P 1'
_symmetry_Int_Tables_number 1
_symmetry_space_group_name_Hall 'P 1'
_cell_length_a 8.591
_cell_length_b 8.591
_cell_length_c 6.807
_cell_angle_alpha 104.38
_cell_angle_beta 104.38
_cell_angle_gamma 33.61
loop_
_atom_site_label
_atom_site_type_symbol
_atom_site_fract_x
_atom_site_fract_y
_atom_site_fract_z
Tb1 Tb 0.000 0.000 0.000
Tb2 Tb 0.114 0.114 0.585
Tb3 Tb 0.886 0.886 0.415
Dy1 Dy 0.331 0.331 0.929
Dy2 Dy 0.669 0.669 0.071
Pb1 Pb 0.248 0.248 0.309
Pb2 Pb 0.491 0.491 0.717
Pb3 Pb 0.509 0.509 0.283
Pb4 Pb 0.752 0.752 0.691
```